Record 1
Below is a relaxed NdYAg crystal, with properties calculated at the PBE level.

Unit cell a=5.1089 b=5.1089 c=3.7734 alpha=90.00 beta=90.00 gamma=120.00
Space group P3m1 (No. 156)
One atom of each set of equivalent atoms:
Nd: 0.0000 0.0000 0.0000
Y: 0.3333 0.6667 0.5461
Ag: 0.6667 0.3333 0.3292

Properties
Its formation energy is -19.9 meV/atom. The calculation puts the volume at 28.43 A^3/atom. The polymorph energy (0 for the lowest one) comes out at 0.468 eV per formula unit. The density comes out at 6.6 g/cm3.

Record 2
Below is a relaxed FeSiRu crystal, with properties calculated at the PBE level.

Unit cell a=2.6881 b=2.6881 c=5.8674 alpha=90.00 beta=90.00 gamma=120.00
Space group P3m1 (No. 156)
One atom of each set of equivalent atoms:
Fe: 0.0000 0.0000 0.0000
Si: 0.3333 0.6667 0.6923
Ru: 0.6667 0.3333 0.3482

Properties
The value obtained for the uncorrected formation energy is -11 kJ/mol of atoms. The calculation puts the volume at 12.24 A^3/atom. The density comes out at 8.4 g/cm3.

Record 3
Below is a relaxed Tb6SmTh2 crystal, with properties calculated at the PBE level.

Unit cell a=16.9466 b=9.7636 c=3.4923 alpha=90.00 beta=90.09 gamma=90.00
Space group C2/m (No. 12)
One atom of each set of equivalent atoms:
Tb: 0.0000 0.1648 0.0000
Tb: 0.1675 0.3327 0.9993
Sm: 0.0000 0.5000 0.5000
Th: 0.1667 0.0000 0.4997

Properties
Its formation energy is 54.8 meV/atom. The calculation puts the volume at 32.10 A^3/atom. The polymorph energy (0 for the lowest one) comes out at 0.000 eV per formula unit. The density comes out at 9.0 g/cm3.

Record 4
Below is a relaxed La2AgPtCl crystal, with properties calculated at the PBE level.

Unit cell a=5.6200 b=5.6200 c=5.1072 alpha=90.00 beta=90.00 gamma=90.00
Space group P4/mmm (No. 123)
One atom of each set of equivalent atoms:
La: 0.0000 0.5000 0.0000
Ag: 0.0000 0.0000 0.5000
Pt: 0.5000 0.5000 0.0000
Cl: 0.5000 0.5000 0.5000

Properties
The value obtained for the uncorrected formation energy is -29 kJ/mol of atoms. The calculation puts the volume at 32.26 A^3/atom. The density comes out at 6.3 g/cm3.

Record 5
Below is a relaxed KIrRu2C crystal, with properties calculated at the PBE level.

Unit cell a=4.5108 b=4.5108 c=4.1492 alpha=90.00 beta=90.00 gamma=90.00
Space group P4/mmm (No. 123)
One atom of each set of equivalent atoms:
K: 0.0000 0.0000 0.0000
Ir: 0.5000 0.5000 0.5000
Ru: 0.0000 0.5000 0.0000
C: 0.0000 0.0000 0.5000

Properties
Its formation energy is 3715.1 meV/atom. The calculation puts the volume at 16.89 A^3/atom. The density comes out at 8.8 g/cm3.

Record 6
Below is a relaxed PmHo2CdAu4 crystal, with properties calculated at the PBE level.

Unit cell a=5.0311 b=5.0311 c=24.9139 alpha=90.00 beta=90.00 gamma=120.00
Space group R-3m (No. 166, hexagonal axes)
One atom of each set of equivalent atoms:
Pm: 0.0000 0.0000 0.0000
Ho: 0.0000 0.0000 0.2420
Cd: 0.0000 0.0000 0.5000
Au: 0.0000 0.0000 0.1212
Au: 0.0000 0.0000 0.3732

Properties
Its formation energy is -740.5 meV/atom. The calculation puts the volume at 22.76 A^3/atom. The density comes out at 12.5 g/cm3.

Record 7
Below is a relaxed Sc5Cd2Ir2Pd crystal, with properties calculated at the PBE level.

Unit cell a=11.1132 b=11.1132 c=3.3627 alpha=90.00 beta=90.00 gamma=90.00
Space group P4/mbm (No. 127)
One atom of each set of equivalent atoms:
Sc: 0.0000 0.5000 0.0000
Sc: 0.0736 0.1973 0.0000
Cd: 0.1719 0.6719 0.5000
Ir: 0.1336 0.3664 0.5000
Pd: 0.0000 0.0000 0.5000

Properties
Its formation energy is -615.7 meV/atom. The calculation puts the volume at 20.77 A^3/atom. The density comes out at 7.5 g/cm3.

Record 8
Below is a relaxed Ac2Zn3CdPt4 crystal, with properties calculated at the PBE level.

Unit cell a=4.3393 b=4.3393 c=11.2407 alpha=90.00 beta=90.00 gamma=90.00
Space group P-4m2 (No. 115)
One atom of each set of equivalent atoms:
Ac: 0.0000 0.5000 0.2388
Zn: 0.0000 0.5000 0.8780
Zn: 0.5000 0.5000 0.5000
Cd: 0.0000 0.0000 0.5000
Pt: 0.0000 0.0000 0.0000
Pt: 0.0000 0.5000 0.6519
Pt: 0.5000 0.5000 0.0000

Properties
Its formation energy is -759.4 meV/atom. The calculation puts the volume at 21.17 A^3/atom. The density comes out at 12.1 g/cm3.

Record 9
Below is a relaxed Li2AlHg crystal, with properties calculated at the PBE level.

Unit cell a=3.3934 b=3.3934 c=6.1741 alpha=90.00 beta=90.00 gamma=90.00
Space group P4mm (No. 99)
One atom of each set of equivalent atoms:
Li: 0.0000 0.0000 0.0000
Li: 0.5000 0.5000 0.2517
Al: 0.0000 0.0000 0.4882
Hg: 0.5000 0.5000 0.7701

Properties
Its formation energy is -148.8 meV/atom. The calculation puts the volume at 17.77 A^3/atom. The density comes out at 5.6 g/cm3.

Record 10
Below is a relaxed UBiSe2 crystal, with properties calculated at the PBE level.

Unit cell a=3.8976 b=3.8976 c=26.2128 alpha=90.00 beta=90.00 gamma=120.00
Space group R3m (No. 160, hexagonal axes)
One atom of each set of equivalent atoms:
U: 0.0000 0.0000 0.0000
Bi: 0.0000 0.0000 0.1528
Se: 0.0000 0.0000 0.3990
Se: 0.0000 0.0000 0.6011

Properties
The value obtained for the uncorrected formation energy is -53 kJ/mol of atoms. The calculation puts the volume at 28.74 A^3/atom. The polymorph energy (0 for the lowest one) comes out at 0.426 eV per formula unit. The density comes out at 8.7 g/cm3.

Record 11
Below is a relaxed MgIrW2 crystal, with properties calculated at the PBE level.

Unit cell a=5.2869 b=8.9805 c=2.7584 alpha=90.00 beta=105.28 gamma=90.00
Space group C2/m (No. 12)
One atom of each set of equivalent atoms:
Mg: 0.0000 0.0000 0.0000
Ir: 0.0000 0.5000 0.0000
W: 0.2500 0.2500 0.5000

Properties
Its formation energy is 163.1 meV/atom. The calculation puts the volume at 15.79 A^3/atom. The density comes out at 15.4 g/cm3.

Record 12
Below is a relaxed PtAuSe2 crystal, with properties calculated at the PBE level.

Unit cell a=5.8894 b=5.8894 c=11.4767 alpha=90.00 beta=90.00 gamma=90.00
Space group I-42d (No. 122)
One atom of each set of equivalent atoms:
Pt: 0.0000 0.0000 0.0000
Au: 0.0000 0.0000 0.5000
Se: 0.2254 0.2500 0.1250

Properties
The value obtained for the uncorrected formation energy is 4 kJ/mol of atoms. The calculation puts the volume at 24.88 A^3/atom. The density comes out at 9.2 g/cm3.

Repeat the eighth record exactly.
Below is a relaxed Ac2Zn3CdPt4 crystal, with properties calculated at the PBE level.

Unit cell a=4.3393 b=4.3393 c=11.2407 alpha=90.00 beta=90.00 gamma=90.00
Space group P-4m2 (No. 115)
One atom of each set of equivalent atoms:
Ac: 0.0000 0.5000 0.2388
Zn: 0.0000 0.5000 0.8780
Zn: 0.5000 0.5000 0.5000
Cd: 0.0000 0.0000 0.5000
Pt: 0.0000 0.0000 0.0000
Pt: 0.0000 0.5000 0.6519
Pt: 0.5000 0.5000 0.0000

Properties
Its formation energy is -759.4 meV/atom. The calculation puts the volume at 21.17 A^3/atom. The density comes out at 12.1 g/cm3.

What is the formula in the third record? Tb6SmTh2